A relaxed Hg2IrSe crystal. Source: Alexandria, functional PBE-GGA.

Cell lengths 7.197, 7.197, 7.197 Å; angles 95.80, 95.80, 142.94 degrees
Fractional positions:
Hg 0.019 0.625 0.894
Hg 0.375 0.269 0.394
Hg 0.731 0.125 0.106
Hg 0.875 0.981 0.606
Ir 0.000 0.000 0.000
Ir 0.750 0.250 0.500
Se 0.250 0.750 0.500
Se 0.500 0.500 0.000

Computed properties:
The calculation puts the uncorrected formation energy at 0.3122 eV per atom. As for the space group: No. 122. The value obtained for the size of the total moment is 0.00 μB/f.u. As for the density of states at the Fermi level: 0.558 states/eV/atom. Its total energy is -2.93 eV/atom.